(1)
## La3ThIr3 (GGA-PBE)

Data for a geometry-optimized La3ThIr3 structure.

Energy relative to the elements (eV/atom): -0.7349
V (Å³ per atom): 27.81
Space group: R-3 (148)
Uncorrected energy (eV per cell): -107.9

Cell lengths 7.756, 7.756, 7.756 Å; angles 68.56, 68.56, 68.56 degrees
Element x y z (fractional)
Ir (0.056, 0.451, 0.687)
Ir (0.549, 0.313, 0.944)
Ir (0.944, 0.549, 0.313)
Ir (0.313, 0.944, 0.549)
Ir (0.451, 0.687, 0.056)
Ir (0.687, 0.056, 0.451)
La (0.879, 0.183, 0.633)
La (0.633, 0.879, 0.183)
La (0.121, 0.817, 0.367)
La (0.817, 0.367, 0.121)
La (0.183, 0.633, 0.879)
La (0.367, 0.121, 0.817)
Th (0.325, 0.325, 0.325)
Th (0.675, 0.675, 0.675)

***

(2)
## LaThTlIr (GGA-PBE)

Data for a geometry-optimized LaThTlIr structure.

Energy relative to the elements (eV/atom): -0.5596
V (Å³ per atom): 30.98
Space group: Cm (8)
Uncorrected energy (eV per cell): -25.8

Cell lengths 4.128, 4.128, 8.727 Å; angles 89.96, 103.64, 120.00 degrees
Element x y z (fractional)
Ir (0.310, 0.553, 0.879)
Tl (0.964, 0.380, 0.360)
Th (0.096, 0.946, 0.057)
La (0.508, 0.152, 0.674)

***

(3)
## La2TiIr2 (GGA-PBE)

Data for a geometry-optimized La2TiIr2 structure.

Energy relative to the elements (eV/atom): -0.5129
V (Å³ per atom): 22.72
Space group: P4/mbm (127)
Uncorrected energy (eV per cell): -76.1

Cell lengths 6.961, 6.961, 4.688 Å; angles 90.00, 90.00, 90.00 degrees
Element x y z (fractional)
Ir (0.855, 0.645, 0.000)
Ir (0.645, 0.145, 0.000)
Ir (0.355, 0.855, 0.000)
Ir (0.145, 0.355, 0.000)
Ti (0.000, 0.000, 0.000)
Ti (0.500, 0.500, 0.000)
La (0.170, 0.670, 0.500)
La (0.830, 0.330, 0.500)
La (0.330, 0.170, 0.500)
La (0.670, 0.830, 0.500)

***

(4)
## LaTiZnIr2 (GGA-PBE)

Data for a geometry-optimized LaTiZnIr2 structure.

Energy relative to the elements (eV/atom): -0.6588
V (Å³ per atom): 19.53
Space group: I-4m2 (119)
Uncorrected energy (eV per cell): -35.1

Cell lengths 4.115, 4.115, 6.458 Å; angles 108.58, 108.58, 90.00 degrees
Element x y z (fractional)
La (0.000, 0.000, 0.000)
Ir (0.614, 0.614, 0.228)
Ir (0.386, 0.386, 0.772)
Zn (0.750, 0.250, 0.500)
Ti (0.250, 0.750, 0.500)

***

(5)
## La2TlIr (GGA-PBE)

Data for a geometry-optimized La2TlIr structure.

Energy relative to the elements (eV/atom): -0.0891
V (Å³ per atom): 31.89
E above lowest polymorph (meV per atom): 517
Space group: R3m (160)
Uncorrected energy (eV per cell): -21.4

Cell lengths 9.143, 9.143, 9.143 Å; angles 25.80, 25.80, 25.80 degrees
Element x y z (fractional)
Tl (0.478, 0.478, 0.478)
La (0.030, 0.030, 0.030)
La (0.235, 0.235, 0.235)
Ir (0.756, 0.756, 0.756)

***

(6)
## La3TlIr (GGA-PBE)

Data for a geometry-optimized La3TlIr structure.

Energy relative to the elements (eV/atom): 0.0584
V (Å³ per atom): 53.24
E above lowest polymorph (meV per atom): 599
Space group: Amm2 (38)
Uncorrected energy (eV per cell): -25.7

Cell lengths 4.057, 8.912, 8.912 Å; angles 124.30, 90.00, 90.00 degrees
Element x y z (fractional)
La (0.500, 0.667, 0.787)
La (0.500, 0.213, 0.333)
La (0.000, 0.243, 0.757)
Tl (0.500, 0.087, 0.913)
Ir (0.000, 0.418, 0.582)

***

What did the first record say?
## La3ThIr3 (GGA-PBE)

Data for a geometry-optimized La3ThIr3 structure.

Energy relative to the elements (eV/atom): -0.7349
V (Å³ per atom): 27.81
Space group: R-3 (148)
Uncorrected energy (eV per cell): -107.9

Cell lengths 7.756, 7.756, 7.756 Å; angles 68.56, 68.56, 68.56 degrees
Element x y z (fractional)
Ir (0.056, 0.451, 0.687)
Ir (0.549, 0.313, 0.944)
Ir (0.944, 0.549, 0.313)
Ir (0.313, 0.944, 0.549)
Ir (0.451, 0.687, 0.056)
Ir (0.687, 0.056, 0.451)
La (0.879, 0.183, 0.633)
La (0.633, 0.879, 0.183)
La (0.121, 0.817, 0.367)
La (0.817, 0.367, 0.121)
La (0.183, 0.633, 0.879)
La (0.367, 0.121, 0.817)
Th (0.325, 0.325, 0.325)
Th (0.675, 0.675, 0.675)